Er2HfTiN4 | PBE | optimized geometry

Structure (POSCAR):
```
Er2HfTiN4
1.0
5.6132 0.0000 0.0000
0.0000 3.2529 0.0000
-1.8765 0.0000 5.3668
Er Hf Ti N
2 1 1 4
Cartesian
0.0000 0.0000 0.0000
2.8066 1.6265 0.0000
-0.9383 1.6265 2.6834
1.8683 0.0000 2.6834
0.0107 0.0000 3.9076
0.9465 1.6265 1.4684
2.7902 1.6265 3.8984
3.7260 0.0000 1.4592
```

For the uncorrected formation energy, the calculation gives -1742 meV per atom. The crystal system is monoclinic. The total magnetization is 0.0 Bohr magnetons per cell.